A geometry-optimized Sm4GaTe2As structure. Source: Alexandria via LeMat-Bulk, functional GGA-PBE.

Cell lengths 7.538, 4.259, 7.653 Å; angles 90.00, 108.50, 90.00 degrees
Positions (direct):
Sm1 0.241 0.000 0.223
Sm2 0.256 0.500 0.770
Sm3 0.744 0.500 0.230
Sm4 0.759 0.000 0.777
Ga1 0.500 0.000 0.000
Te1 0.000 0.000 0.500
Te2 0.500 0.500 0.500
As1 0.000 0.500 0.000

SG	P2/m, No. 10
E_form (uncorrected)	-972.8	kJ/mol of formula units